Compound: Cr2SiAs
Source: Alexandria
Functional: PBE
Structure: relaxed

a = 7.778 Å, b = 7.778 Å, c = 7.778 Å
α = 21.25°, β = 21.25°, γ = 21.25°
Positions (direct):
Cr 0.997 0.997 0.997
Si 0.507 0.507 0.507
As 0.745 0.745 0.745
Cr 0.251 0.251 0.251

As for the polymorph energy (0 for the lowest one): 296 meV per atom. For the total energy, the calculation gives -28.534 eV per cell. The calculation puts the energy relative to the elements, uncorrected at 0.79 eV per formula unit. The crystal system is trigonal. The calculation puts the density of states at the Fermi level at 4.59 states/eV/cell.

=====

Compound: Cr2SiAs
Source: Alexandria
Functional: PBE
Structure: relaxed

a = 4.244 Å, b = 4.244 Å, c = 4.244 Å
α = 60.00°, β = 60.00°, γ = 60.00°
Positions (direct):
As 0.500 0.500 0.500
Si 0.250 0.250 0.250
Cr 0.000 0.000 0.000
Cr 0.750 0.750 0.750

As for the polymorph energy (0 for the lowest one): 378 meV per atom. For the total energy, the calculation gives -28.209 eV per cell. The calculation puts the energy relative to the elements, uncorrected at 1.11 eV per formula unit. The crystal system is cubic. The calculation puts the density of states at the Fermi level at 3.72 states/eV/cell.

=====

Compound: CrSiAs2
Source: Alexandria
Functional: PBE
Structure: relaxed

a = 3.618 Å, b = 5.319 Å, c = 3.605 Å
α = 90.00°, β = 90.00°, γ = 90.00°
Positions (direct):
As 0.000 0.000 0.000
Si 0.000 0.500 0.500
Cr 0.500 0.000 0.500
As 0.500 0.500 0.000

For the total energy, the calculation gives -22.850 eV per cell. The calculation puts the energy relative to the elements, uncorrected at 1.50 eV per formula unit. The crystal system is orthorhombic. The calculation puts the density of states at the Fermi level at 2.44 states/eV/cell.

=====

Compound: CrSi2As
Source: Alexandria
Functional: PBE
Structure: relaxed

a = 2.983 Å, b = 2.960 Å, c = 6.943 Å
α = 90.00°, β = 90.00°, γ = 90.00°
Positions (direct):
Si 0.000 0.000 0.964
As 0.000 0.000 0.568
Cr 0.500 0.500 0.783
Si 0.500 0.500 0.185

For the total energy, the calculation gives -24.350 eV per cell. The calculation puts the energy relative to the elements, uncorrected at 0.77 eV per formula unit. The crystal system is orthorhombic. The calculation puts the density of states at the Fermi level at 2.95 states/eV/cell.

=====

Compound: CrSi2As
Source: Alexandria
Functional: PBE
Structure: relaxed

a = 4.190 Å, b = 4.190 Å, c = 3.564 Å
α = 90.00°, β = 90.00°, γ = 90.00°
Positions (direct):
Si 0.000 0.000 0.000
Si 0.500 0.500 0.000
Cr 0.000 0.500 0.500
As 0.500 0.000 0.500

For the total energy, the calculation gives -23.403 eV per cell. The calculation puts the energy relative to the elements, uncorrected at 1.72 eV per formula unit. The crystal system is tetragonal. The calculation puts the density of states at the Fermi level at 2.01 states/eV/cell.

=====

Compound: CrSi2As
Source: Alexandria
Functional: PBE
Structure: relaxed

a = 7.942 Å, b = 7.942 Å, c = 7.942 Å
α = 21.39°, β = 21.39°, γ = 21.39°
Positions (direct):
Si 0.011 0.011 0.011
Si 0.489 0.489 0.489
Cr 0.750 0.750 0.750
As 0.250 0.250 0.250

For the total energy, the calculation gives -24.109 eV per cell. The calculation puts the energy relative to the elements, uncorrected at 1.01 eV per formula unit. The crystal system is trigonal. The calculation puts the density of states at the Fermi level at 2.69 states/eV/cell.